[1]
This record from the Open Quantum Materials Database describes an optimized crystal structure of KLiCo. The functional is PBE.

```
KLiCo
1.0
4.511 -1.528 1.632
2.842 3.079 2.790
0.711 -0.971 4.888
Co K Li
1 1 1
direct
0.000 0.000 0.000
0.250 0.250 0.250
0.750 0.750 0.750
```

## Properties
Volume (Å³ per atom): 30.07
Energy above the lowest structure with this stoichiometry (eV/atom): 0.000
Total magnetic moment (μB per cell): 1.39
Density (g/cm³): 1.9

---

[2]
This record from the Open Quantum Materials Database describes an optimized crystal structure of HgB4Ir. The functional is PBE.

```
HgB4Ir
1.0
2.975 0.000 0.000
-1.488 2.576 0.000
0.000 0.000 9.669
B Hg Ir
4 1 1
direct
0.667 0.333 0.179
0.333 0.667 0.179
0.667 0.333 0.821
0.333 0.667 0.821
0.000 0.000 0.500
0.000 0.000 0.000
```

## Properties
Volume (Å³ per atom): 12.35
Energy above the lowest structure with this stoichiometry (eV/atom): 0.000
Total magnetic moment (μB per cell): 0.04
Density (g/cm³): 9.8

---

[3]
This record from the Open Quantum Materials Database describes an optimized crystal structure of Y4Lu2Sb3N3. The functional is PBE.

```
Y4Lu2Sb3N3
1.0
-0.996 3.233 5.132
-5.622 0.171 2.479
5.423 -12.996 5.546
Lu N Sb Y
4 6 6 8
direct
0.359 0.528 0.084
0.472 0.641 0.416
0.528 0.359 0.584
0.641 0.472 0.916
0.660 0.180 0.000
0.000 0.500 0.000
0.340 0.820 0.000
0.180 0.660 0.500
0.500 0.000 0.500
0.820 0.340 0.500
0.736 0.583 0.249
0.095 0.905 0.250
0.417 0.264 0.251
0.583 0.736 0.749
0.905 0.095 0.750
0.264 0.417 0.751
0.696 0.865 0.090
0.032 0.195 0.090
0.805 0.968 0.410
0.135 0.304 0.410
0.865 0.696 0.590
0.195 0.032 0.590
0.968 0.805 0.910
0.304 0.135 0.910
```

## Properties
Volume (Å³ per atom): 20.06
Total DFT energy (no corrections) (Ry per atom): -0.532
Total magnetic moment (μB per cell): 0.01
Density (g/cm³): 7.7

---

> Which of these has the highest volume?

KLiCo